VASP calculation (PBE) on an optimized crystal structure of SrMg.

## Properties
calculated volume	299.7	Å³ per cell
energy of formation from the pure elements	0.09	eV per formula unit
D(E_F)	0.8524	states/eV/atom
theoretical density	2.5	Mg/m³

```
SrMg
1.0
-6.259 6.259 1.913
6.259 -6.259 1.913
6.259 6.259 -1.913
Sr Mg
4 4
Cartesian
2.106 1.696 0.000 Sr
4.563 -4.153 1.913 Sr
1.696 10.412 0.000 Sr
4.153 4.563 1.913 Sr
5.821 1.774 0.000 Mg
4.485 -0.438 1.913 Mg
1.774 6.697 0.000 Mg
0.438 4.485 1.913 Mg
```